(1)
First-principles (PBE) data for an optimized crystal structure of CaIr2Cl, as listed in the Alexandria database.

The structure in POSCAR format:
```
CaIr2Cl
1.0
7.640 0.000 0.000
0.000 3.797 0.000
-2.246 0.000 7.586
Ca Ir Cl
2 4 2
direct
0.000 0.000 0.000
0.500 0.500 0.000
0.258 0.500 0.301
0.452 0.000 0.307
0.758 0.000 0.301
0.952 0.500 0.307
0.261 0.000 0.814
0.761 0.500 0.814
```

Results
crystal system = monoclinic
raw formation energy = -148 kJ/mol of formula units
spin magnetization = 0.000 μB/atom
V = 220 Å³/cell

---

(2)
First-principles (PBE) data for an optimized crystal structure of La6DyHg12, as listed in the Alexandria database.

The structure in POSCAR format:
```
La6DyHg12
1.0
7.057 4.075 3.223
-7.057 4.075 3.223
0.000 -8.149 3.223
La Dy Hg
6 1 12
direct
0.003 0.426 0.272
0.272 0.003 0.426
0.426 0.272 0.003
0.574 0.728 0.997
0.728 0.997 0.574
0.997 0.574 0.728
0.500 0.500 0.500
0.063 0.313 0.920
0.080 0.937 0.687
0.242 0.362 0.655
0.313 0.920 0.063
0.345 0.758 0.638
0.362 0.655 0.242
0.638 0.345 0.758
0.655 0.242 0.362
0.687 0.080 0.937
0.758 0.638 0.345
0.920 0.063 0.313
0.937 0.687 0.080
```

Results
crystal system = trigonal
ΔE_f = -387.2 meV/atom
spin magnetization = 0.000 μB/atom
V = 556 Å³/cell

---

(3)
First-principles (PBE) data for an optimized crystal structure of Pr2Sb4Ir3Pt, as listed in the Alexandria database.

The structure in POSCAR format:
```
Pr2Sb4Ir3Pt
1.0
4.630 0.000 0.000
0.000 4.630 0.000
0.000 0.000 10.397
Pr Sb Ir Pt
2 4 3 1
direct
0.000 0.500 0.244
0.500 0.000 0.756
0.000 0.000 0.500
0.000 0.500 0.868
0.500 0.000 0.132
0.500 0.500 0.500
0.000 0.000 0.000
0.000 0.500 0.620
0.500 0.000 0.380
0.500 0.500 0.000
```

Results
crystal system = tetragonal
raw formation energy = -637 kJ/mol of formula units
spin magnetization = 0.000 μB/atom
V = 223 Å³/cell

---

(4)
First-principles (PBE) data for an optimized crystal structure of RuSN2F, as listed in the Alexandria database.

The structure in POSCAR format:
```
RuSN2F
1.0
3.459 0.000 0.000
0.000 3.459 0.000
0.000 0.000 4.941
Ru S N F
1 1 2 1
direct
0.000 0.000 0.000
0.500 0.500 0.500
0.000 0.500 0.500
0.500 0.000 0.500
0.500 0.500 0.000
```

Results
crystal system = tetragonal
raw formation energy = 720 kJ/mol of formula units
spin magnetization = 0.719 μB/atom
V = 59 Å³/cell

---

(5)
First-principles (PBE) data for an optimized crystal structure of La2Ni9Au, as listed in the Alexandria database.

The structure in POSCAR format:
```
La2Ni9Au
1.0
2.485 1.435 8.230
-2.485 1.435 8.230
0.000 -2.869 8.230
La Ni Au
2 9 1
direct
0.133 0.133 0.133
0.867 0.867 0.867
0.080 0.579 0.579
0.333 0.333 0.333
0.421 0.421 0.920
0.421 0.920 0.421
0.500 0.500 0.500
0.579 0.080 0.579
0.579 0.579 0.080
0.667 0.667 0.667
0.920 0.421 0.421
0.000 0.000 0.000
```

Results
crystal system = trigonal
ΔE_f = -144.2 meV/atom
spin magnetization = 0.223 μB/atom
V = 176 Å³/cell

---

(6)
First-principles (PBE) data for an optimized crystal structure of Al2RuRhF, as listed in the Alexandria database.

The structure in POSCAR format:
```
Al2RuRhF
1.0
4.725 0.000 0.000
0.000 4.725 0.000
0.000 0.000 3.853
Al Ru Rh F
2 1 1 1
direct
0.000 0.500 0.000
0.500 0.000 0.000
0.000 0.000 0.000
0.500 0.500 0.500
0.000 0.000 0.500
```

Results
crystal system = tetragonal
raw formation energy = 39 kJ/mol of formula units
spin magnetization = 0.000 μB/atom
V = 86 Å³/cell

---

(7)
First-principles (PBE) data for an optimized crystal structure of K2TlOs, as listed in the Alexandria database.

The structure in POSCAR format:
```
K2TlOs
1.0
3.130 0.000 0.000
-1.565 2.711 0.000
0.000 0.000 36.014
K Tl Os
6 3 3
direct
0.000 0.000 0.242
0.000 0.000 0.758
0.333 0.667 0.424
0.333 0.667 0.909
0.667 0.333 0.091
0.667 0.333 0.576
0.000 0.000 0.000
0.333 0.667 0.667
0.667 0.333 0.333
0.000 0.000 0.500
0.333 0.667 0.167
0.667 0.333 0.833
```

Results
crystal system = trigonal
ΔE_f = 1059.3 meV/atom
spin magnetization = 0.070 μB/atom
V = 306 Å³/cell

---

(8)
First-principles (PBE) data for an optimized crystal structure of Rb2HoTmO4, as listed in the Alexandria database.

The structure in POSCAR format:
```
Rb2HoTmO4
1.0
6.013 0.000 0.000
0.000 3.471 0.000
-2.006 0.000 6.548
Rb Ho Tm O
2 1 1 4
direct
0.000 0.000 0.000
0.500 0.500 0.000
0.000 0.500 0.500
0.500 0.000 0.500
0.227 0.000 0.674
0.278 0.500 0.327
0.722 0.500 0.673
0.773 0.000 0.326
```

Results
crystal system = monoclinic
raw formation energy = -2105 kJ/mol of formula units
spin magnetization = 0.000 μB/atom
V = 137 Å³/cell

---

(9)
First-principles (PBE) data for an optimized crystal structure of ZrHgS2, as listed in the Alexandria database.

The structure in POSCAR format:
```
ZrHgS2
1.0
5.447 0.000 0.000
0.000 5.447 0.000
0.000 0.000 11.996
Zr Hg S
4 4 8
direct
0.000 0.250 0.375
0.000 0.750 0.625
0.500 0.250 0.125
0.500 0.750 0.875
0.000 0.250 0.875
0.000 0.750 0.125
0.500 0.250 0.625
0.500 0.750 0.375
0.000 0.250 0.159
0.000 0.250 0.591
0.000 0.750 0.409
0.000 0.750 0.841
0.500 0.250 0.341
0.500 0.250 0.909
0.500 0.750 0.091
0.500 0.750 0.659
```

Results
crystal system = tetragonal
raw formation energy = -250 kJ/mol of formula units
spin magnetization = 0.188 μB/atom
V = 356 Å³/cell

---

(10)
First-principles (PBE) data for an optimized crystal structure of ScRu2Br, as listed in the Alexandria database.

The structure in POSCAR format:
```
ScRu2Br
1.0
3.156 0.000 0.000
-1.578 2.734 0.000
0.000 0.000 25.352
Sc Ru Br
3 6 3
direct
0.000 0.000 0.000
0.333 0.667 0.667
0.667 0.333 0.333
0.000 0.000 0.254
0.000 0.000 0.514
0.333 0.667 0.181
0.333 0.667 0.920
0.667 0.333 0.587
0.667 0.333 0.848
0.000 0.000 0.747
0.333 0.667 0.413
0.667 0.333 0.080
```

Results
crystal system = trigonal
raw formation energy = 62 kJ/mol of formula units
spin magnetization = 0.158 μB/atom
V = 219 Å³/cell

---

(11)
First-principles (PBE) data for an optimized crystal structure of BaLiGaAg2, as listed in the Alexandria database.

The structure in POSCAR format:
```
BaLiGaAg2
1.0
5.088 0.000 0.000
0.000 5.088 0.000
0.000 0.000 5.060
Ba Li Ga Ag
1 1 1 2
direct
0.000 0.000 0.000
0.500 0.500 0.000
0.500 0.500 0.500
0.000 0.500 0.500
0.500 0.000 0.500
```

Results
crystal system = tetragonal
ΔE_f = -152.8 meV/atom
spin magnetization = 0.000 μB/atom
V = 131 Å³/cell

---

(12)
First-principles (PBE) data for an optimized crystal structure of PmY4Ag5, as listed in the Alexandria database.

The structure in POSCAR format:
```
PmY4Ag5
1.0
3.629 0.000 0.000
0.000 3.629 0.000
0.000 0.000 18.634
Pm Y Ag
1 4 5
direct
0.000 0.000 0.000
0.000 0.000 0.203
0.000 0.000 0.401
0.000 0.000 0.599
0.000 0.000 0.797
0.500 0.500 0.107
0.500 0.500 0.302
0.500 0.500 0.500
0.500 0.500 0.698
0.500 0.500 0.893
```

Results
crystal system = tetragonal
ΔE_f = -320.8 meV/atom
spin magnetization = 0.000 μB/atom
V = 245 Å³/cell